Entry from the Alexandria database: a geometry-optimized PmH8Rh2Pb structure (PBE).

Calculated values
Space-group type = R-3m
Final energy = -4.18 eV per atom

Cell and atoms, written as POSCAR:
```
PmH8Rh2Pb
1.0
2.105 1.215 8.602
-2.105 1.215 8.602
0.000 -2.431 8.602
Pm H Rh Pb
1 8 2 1
Direct
0.000 0.000 0.000 Pm
0.084 0.528 0.528 H
0.186 0.186 0.186 H
0.472 0.472 0.916 H
0.472 0.916 0.472 H
0.528 0.084 0.528 H
0.528 0.528 0.084 H
0.814 0.814 0.814 H
0.916 0.472 0.472 H
0.252 0.252 0.252 Rh
0.748 0.748 0.748 Rh
0.500 0.500 0.500 Pb
```

Entry from the Alexandria database: a geometry-optimized Tc2PBr structure (PBE).

Calculated values
Raw formation energy = 0.27 eV/atom
Space-group type = Pmm2
Polymorph energy (0 for the lowest one) = 0.328 eV/atom

Cell and atoms, written as POSCAR:
```
Tc2PBr
1.0
2.992 0.000 0.000
0.000 3.859 0.000
0.000 0.000 6.455
Tc P Br
2 1 1
Direct
0.000 0.000 0.000 Tc
0.500 0.500 0.189 Tc
0.500 0.500 0.842 P
0.000 0.000 0.389 Br
```

Entry from the Alexandria database: a geometry-optimized K2SmZn2Se4 structure (PBE).

Calculated values
Raw formation energy = -1.09 eV/atom
Space-group type = C2/m

Cell and atoms, written as POSCAR:
```
K2SmZn2Se4
1.0
7.970 -2.136 0.000
7.970 2.136 0.000
-2.849 0.000 7.458
K Sm Zn Se
2 1 2 4
Direct
0.129 0.129 0.058 K
0.871 0.871 0.942 K
0.000 0.000 0.500 Sm
0.321 0.321 0.508 Zn
0.679 0.679 0.492 Zn
0.201 0.201 0.681 Se
0.476 0.476 0.736 Se
0.524 0.524 0.264 Se
0.799 0.799 0.319 Se
```

Entry from the Alexandria database: a geometry-optimized Co2ReHg structure (PBE).

Calculated values
Energy relative to the elements = 1.0 eV/f.u.
Space-group type = P4/mmm

Cell and atoms, written as POSCAR:
```
Co2ReHg
1.0
2.750 0.000 0.000
0.000 2.750 0.000
0.000 0.000 7.442
Co Re Hg
2 1 1
Direct
0.000 0.000 0.222 Co
0.000 0.000 0.778 Co
0.500 0.500 0.000 Re
0.500 0.500 0.500 Hg
```

Entry from the Alexandria database: a geometry-optimized Th2Ge3Ir4Rh structure (PBE).

Calculated values
Energy relative to the elements = -7.3 eV/f.u.
Space-group type = P-4m2

Cell and atoms, written as POSCAR:
```
Th2Ge3Ir4Rh
1.0
4.168 0.000 0.000
0.000 4.168 0.000
0.000 0.000 10.771
Th Ge Ir Rh
2 3 4 1
Direct
0.000 0.500 0.245 Th
0.500 0.000 0.755 Th
0.000 0.000 0.000 Ge
0.000 0.500 0.627 Ge
0.500 0.000 0.373 Ge
0.000 0.000 0.500 Ir
0.000 0.500 0.852 Ir
0.500 0.000 0.148 Ir
0.500 0.500 0.500 Ir
0.500 0.500 0.000 Rh
```

Entry from the Alexandria database: a geometry-optimized UFe10Si2 structure (PBE).

Calculated values
Raw formation energy = -0.23 eV/atom
Space-group type = Immm
Polymorph energy (0 for the lowest one) = 0.000 eV/atom

Cell and atoms, written as POSCAR:
```
UFe10Si2
1.0
-2.355 4.069 4.218
2.355 -4.069 4.218
2.355 4.069 -4.218
U Fe Si
1 10 2
Direct
0.000 0.000 0.000 U
0.000 0.000 0.500 Fe
0.000 0.500 0.000 Fe
0.190 0.500 0.690 Fe
0.349 0.000 0.349 Fe
0.360 0.360 0.000 Fe
0.500 0.000 0.000 Fe
0.500 0.500 0.500 Fe
0.640 0.640 0.000 Fe
0.651 0.000 0.651 Fe
0.810 0.500 0.310 Fe
0.239 0.739 0.500 Si
0.761 0.261 0.500 Si
```

Entry from the Alexandria database: a geometry-optimized ThBiAu2 structure (PBE).

Calculated values
Energy relative to the elements = -2.2 eV/f.u.
Space-group type = Fm-3m

Cell and atoms, written as POSCAR:
```
ThBiAu2
1.0
0.000 3.665 3.665
3.665 0.000 3.665
3.665 3.665 0.000
Th Bi Au
1 1 2
Direct
0.000 0.000 0.000 Th
0.500 0.500 0.500 Bi
0.250 0.250 0.250 Au
0.750 0.750 0.750 Au
```

Entry from the Alexandria database: a geometry-optimized Hf2Co4Ge structure (PBE).

Calculated values
Energy relative to the elements = 2.9 eV/f.u.
Space-group type = I4/mmm

Cell and atoms, written as POSCAR:
```
Hf2Co4Ge
1.0
-2.103 2.103 6.433
2.103 -2.103 6.433
2.103 2.103 -6.433
Hf Co Ge
2 4 1
Direct
0.138 0.138 0.000 Hf
0.862 0.862 0.000 Hf
0.000 0.500 0.500 Co
0.325 0.325 0.000 Co
0.500 0.000 0.500 Co
0.675 0.675 0.000 Co
0.500 0.500 0.000 Ge
```